First-principles (GGA+U) data for a geometry-optimized V2AgBiO6 structure, as listed in the Alexandria database.

The total energy comes out at -132.92 eV/cell. Its density of states at the Fermi level is 0.000 states/eV/f.u. The calculation puts the spin magnetization at 2.0 μB/f.u.

Unit cell a=7.2995 b=7.2995 c=6.4435 alpha=106.13 beta=106.13 gamma=100.67
Closest atoms and distances in Å follow each position.
Atoms (fractional coordinates):
V 0.0570 0.2114 0.1798  2 O 1.72-1.93
V 0.2114 0.0570 0.6798  2 O 1.72-1.93
V 0.7886 0.9430 0.3202  2 O 1.72-1.93
V 0.9430 0.7886 0.8202  2 O 1.72-1.93
Ag 0.2568 0.7432 0.2500  2 O 2.17
Ag 0.7432 0.2568 0.7500  2 O 2.17
Bi 0.4168 0.5832 0.7500  4 O 2.21-2.40
Bi 0.5832 0.4168 0.2500  4 O 2.21-2.40
O 0.0625 0.1532 0.4551  3 V 1.93-2.06
O 0.0994 0.6456 0.8809  1 V 1.72
O 0.1532 0.0625 0.9551  3 V 1.93-2.06
O 0.3132 0.4100 0.3431  1 V 1.94
O 0.3544 0.9006 0.6191  1 V 1.72
O 0.4100 0.3132 0.8431  1 V 1.94
O 0.5900 0.6868 0.1569  1 V 1.94
O 0.6456 0.0994 0.3809  1 V 1.72
O 0.6868 0.5900 0.6569  1 V 1.94
O 0.8468 0.9375 0.0449  3 V 1.93-2.06
O 0.9006 0.3544 0.1191  1 V 1.72
O 0.9375 0.8468 0.5449  3 V 1.93-2.06